Entry 1:
The following is a GGA-PBEsol calculation of Ho2CuRu after structural relaxation, from Alexandria via LeMat-Bulk.

Results
DFT formation energy = -324 meV/atom
Fermi-level density of states = 0.5103 states/eV/atom
SG = Fm-3m (225)

Lattice parameters (Å, degrees): 4.7438 4.7438 4.7438 60.00 60.00 60.00
Positions (direct):
Ho 0.2500 0.2500 0.2500
Ho 0.7500 0.7500 0.7500
Cu 0.0000 0.0000 0.0000
Ru 0.5000 0.5000 0.5000

Entry 2:
The following is a GGA-PBEsol calculation of BeAl2Mo after structural relaxation, from Alexandria via LeMat-Bulk.

Results
DFT formation energy = -249 meV/atom
Fermi-level density of states = 0.0606 states/eV/atom
SG = I4/mmm (139)

Lattice parameters (Å, degrees): 4.8096 4.8096 4.8096 135.96 135.96 64.04
Positions (direct):
Be 0.0000 0.0000 0.0000
Al 0.2500 0.7500 0.5000
Al 0.7500 0.2500 0.5000
Mo 0.5000 0.5000 0.0000

Question: Which of these has the lowest Fermi-level density of states?
Answer: BeAl2Mo

Question: Which of these has the lowest Fermi-level density of states?
Answer: BeAl2Mo

Question: The highest DFT formation energy belongs to which entry?
Answer: BeAl2Mo